#i
Crystalline Co2CuHAu at its relaxed geometry. Source: Alexandria, functional PBE-GGA.

Cell lengths 4.788, 4.788, 4.827 Å; angles 90.00, 90.00, 90.00 degrees
Space group P4/mmm (No. 123)
Asymmetric unit:
Co1 0.000 0.500 0.000 [2 per cell]
Cu1 0.000 0.000 0.500 [1 per cell]
H1 0.500 0.500 0.500 [1 per cell]
Au1 0.000 0.000 0.000 [1 per cell]

=====

#ii
Crystalline Co2CuHAu at its relaxed geometry. Source: Alexandria, functional PBE-GGA.

Cell lengths 3.698, 3.698, 3.952 Å; angles 90.00, 90.00, 90.00 degrees
Space group P4/mmm (No. 123)
Asymmetric unit:
Co1 0.000 0.500 0.000 [2 per cell]
Cu1 0.000 0.000 0.500 [1 per cell]
H1 0.000 0.000 0.000 [1 per cell]
Au1 0.500 0.500 0.500 [1 per cell]

=====

Relative energies, unit kJ/mol of atoms: #i 157.4; #ii 0.0

=====

#i
Crystalline Er7Co2Au2 at its relaxed geometry. Source: Alexandria, functional PBE-GGA.

Cell lengths 7.579, 10.636, 6.833 Å; angles 90.00, 90.00, 90.00 degrees
Space group Cmmm (No. 65)
Asymmetric unit:
Er1 0.000 0.000 0.000 [2 per cell]
Er2 0.000 0.500 0.242 [4 per cell]
Er3 0.250 0.250 0.250 [8 per cell]
Co1 0.000 0.292 0.000 [4 per cell]
Au1 0.188 0.000 0.500 [4 per cell]

=====

#ii
Crystalline Er7Co2Au2 at its relaxed geometry. Source: Alexandria, functional PBE-GGA.

Cell lengths 3.657, 15.484, 9.349 Å; angles 90.00, 90.00, 90.00 degrees
Space group Imm2 (No. 44)
Asymmetric unit:
Er1 0.000 0.000 0.000 [2 per cell]
Er2 0.000 0.122 0.580 [4 per cell]
Er3 0.000 0.311 0.385 [4 per cell]
Er4 0.000 0.355 0.737 [4 per cell]
Co1 0.000 0.246 0.087 [4 per cell]
Au1 0.000 0.000 0.325 [2 per cell]
Au2 0.000 0.500 0.251 [2 per cell]

=====

Relative energies, unit kJ/mol of atoms: #i 9.9; #ii 0.0

=====

#i
Crystalline Er4CoAu at its relaxed geometry. Source: Alexandria, functional PBE-GGA.

Cell lengths 8.726, 13.076, 6.005 Å; angles 90.00, 119.58, 90.00 degrees
Space group C2/c (No. 15)
Asymmetric unit:
Er1 0.117 0.176 0.087 [8 per cell]
Er2 0.217 0.435 0.304 [8 per cell]
Co1 0.000 0.000 0.250 [4 per cell]
Au1 0.000 0.369 0.750 [4 per cell]

=====

#ii
Crystalline Er4CoAu at its relaxed geometry. Source: Alexandria, functional PBE-GGA.

Cell lengths 6.749, 6.749, 6.846 Å; angles 90.00, 90.12, 90.00 degrees
Space group C2/m (No. 12)
Asymmetric unit:
Er1 0.250 0.250 0.234 [8 per cell]
Co1 0.000 0.000 0.000 [2 per cell]
Au1 0.000 0.500 0.500 [2 per cell]

=====

Relative energies, unit kJ/mol of atoms: #i 0.0; #ii 10.3